Compound: Y2Cu2Ag
Source: the Alexandria database
Functional: PBE
Structure: optimized geometry

Lattice parameters (Å, degrees): 8.038 8.038 3.461 90.00 90.00 90.00
Space group P4/mbm (No. 127)
Inequivalent atoms, fractional coordinates:
Y (0.167, 0.333, 0.000) x4
Cu (0.119, 0.619, 0.500) x4
Ag (0.000, 0.000, 0.000) x2

Values from the calculation:
* energy relative to the elements: 0.0347 eV per atom
* total DFT energy (no corrections): -23.80 eV per formula unit
* ΔE to the lowest computed polymorph: 316 meV/atom